Density functional theory data (GGA-PBE) for a relaxed TbPm2NdSm5 crystal.

Cell lengths 8.833, 8.833, 10.062 Å; angles 116.04, 116.04, 90.00 degrees
Fractional coordinates of all 18 atoms:
Sm1 0.071 0.571 0.724
Sm2 0.571 0.654 0.724
Sm3 0.929 0.429 0.276
Sm4 0.154 0.071 0.724
Sm5 0.346 0.846 0.276
Sm6 0.429 0.346 0.276
Sm7 0.846 0.929 0.276
Sm8 0.654 0.154 0.724
Sm9 0.500 0.500 0.000
Sm10 0.000 0.000 0.000
Nd1 0.750 0.750 0.500
Nd2 0.250 0.250 0.500
Pm1 0.883 0.617 0.000
Pm2 0.617 0.117 0.000
Pm3 0.117 0.383 0.000
Pm4 0.383 0.883 0.000
Tb1 0.750 0.250 0.500
Tb2 0.250 0.750 0.500

The crystal system is tetragonal. For the uncorrected energy, the calculation gives -4.453 eV per atom. The space-group type is I4/mcm (140). As for the magnetization: 0.00 μB per formula unit. Its calculated formation energy is 0.27 eV per atom.

Density functional theory data (GGA-PBE) for a relaxed Tb2Pm3NdSm6 crystal.

Cell lengths 6.282, 6.282, 12.035 Å; angles 95.00, 95.00, 119.98 degrees
Fractional coordinates of all 12 atoms:
Sm1 0.583 0.917 0.751
Sm2 0.749 0.749 0.249
Sm3 0.251 0.251 0.751
Sm4 0.917 0.583 0.751
Sm5 0.083 0.417 0.249
Sm6 0.417 0.083 0.249
Tb1 0.333 0.667 0.000
Tb2 0.667 0.333 0.000
Pm1 0.167 0.833 0.500
Pm2 0.833 0.167 0.500
Pm3 0.500 0.500 0.500
Nd1 0.000 0.000 0.000

The crystal system is monoclinic. For the uncorrected energy, the calculation gives -4.703 eV per atom. The space-group type is C2/m (12). As for the magnetization: 0.00 μB per formula unit. Its calculated formation energy is 0.01 eV per atom.

Density functional theory data (GGA-PBE) for a relaxed Tb2Pm6NdSm crystal.

Cell lengths 9.773, 8.947, 8.947 Å; angles 117.72, 94.08, 94.08 degrees
Fractional coordinates of all 20 atoms:
Pm1 0.380 0.509 0.294
Pm2 0.817 0.432 0.981
Pm3 0.683 0.019 0.568
Pm4 0.183 0.568 0.019
Pm5 0.317 0.981 0.432
Pm6 0.944 0.885 0.245
Pm7 0.056 0.115 0.755
Pm8 0.120 0.706 0.491
Pm9 0.620 0.491 0.706
Pm10 0.444 0.245 0.885
Pm11 0.556 0.755 0.115
Pm12 0.880 0.294 0.509
Tb1 0.955 0.705 0.804
Tb2 0.455 0.804 0.705
Tb3 0.545 0.196 0.295
Tb4 0.045 0.295 0.196
Nd1 0.250 0.407 0.593
Nd2 0.750 0.593 0.407
Sm1 0.250 0.973 0.027
Sm2 0.750 0.027 0.973

The crystal system is monoclinic. For the uncorrected energy, the calculation gives -4.609 eV per atom. The space-group type is C2/c (15). As for the magnetization: 0.00 μB per formula unit. Its calculated formation energy is 0.12 eV per atom.

Density functional theory data (GGA-PBE) for a relaxed Tb4PmNdSm2 crystal.

Cell lengths 9.573, 9.573, 11.893 Å; angles 128.41, 128.41, 88.33 degrees
Site moments in Bohr magnetons follow the coordinates.
Fractional coordinates of all 16 atoms:
Tb1 0.250 0.751 0.501  0.26
Tb2 0.748 0.749 0.999  0.27
Tb3 0.249 0.248 0.499  0.27
Tb4 0.751 0.752 0.501  0.27
Tb5 0.749 0.250 0.999  0.26
Tb6 0.252 0.251 0.001  0.27
Tb7 0.750 0.249 0.499  0.26
Tb8 0.251 0.750 0.001  0.26
Pm1 0.000 0.000 0.000  0.23
Pm2 0.500 0.500 0.500  0.23
Nd1 0.000 0.500 0.500  0.21
Nd2 0.000 0.500 0.000  0.21
Sm1 0.500 0.000 0.500  0.21
Sm2 0.500 0.000 0.000  0.21
Sm3 0.500 0.500 0.000  0.23
Sm4 0.000 0.000 0.500  0.23

The crystal system is monoclinic. For the uncorrected energy, the calculation gives -4.277 eV per atom. The space-group type is C2/c (15). As for the magnetization: 3.02 μB per formula unit. Its calculated formation energy is 0.41 eV per atom.

Density functional theory data (GGA-PBE) for a relaxed TbPm5Nd2Sm crystal.

Cell lengths 8.784, 8.784, 10.174 Å; angles 115.57, 115.57, 90.00 degrees
Fractional coordinates of all 18 atoms:
Tb1 0.250 0.750 0.500
Tb2 0.750 0.250 0.500
Pm1 0.150 0.071 0.720
Pm2 0.000 0.000 0.000
Pm3 0.500 0.500 0.000
Pm4 0.071 0.571 0.720
Pm5 0.850 0.929 0.280
Pm6 0.571 0.650 0.720
Pm7 0.429 0.350 0.280
Pm8 0.650 0.150 0.720
Pm9 0.929 0.429 0.280
Pm10 0.350 0.850 0.280
Nd1 0.119 0.381 0.000
Nd2 0.881 0.619 0.000
Nd3 0.619 0.119 0.000
Nd4 0.381 0.881 0.000
Sm1 0.250 0.250 0.500
Sm2 0.750 0.750 0.500

The crystal system is tetragonal. For the uncorrected energy, the calculation gives -4.471 eV per atom. The space-group type is I4/mcm (140). As for the magnetization: 0.00 μB per formula unit. Its calculated formation energy is 0.27 eV per atom.

Density functional theory data (GGA-PBE) for a relaxed PmNd3Sm3Te8 crystal.

Cell lengths 8.904, 8.904, 8.913 Å; angles 119.97, 90.00, 120.00 degrees
Fractional coordinates of all 15 atoms:
Sm1 0.000 0.500 0.500
Sm2 0.500 0.000 0.500
Sm3 0.500 0.500 0.500
Te1 0.745 0.489 0.247
Te2 0.255 0.511 0.753
Te3 0.258 0.003 0.247
Te4 0.742 0.997 0.753
Te5 0.255 0.997 0.753
Te6 0.749 0.497 0.746
Te7 0.745 0.003 0.247
Te8 0.251 0.503 0.254
Nd1 0.000 0.500 0.000
Nd2 0.500 0.500 0.000
Nd3 0.000 0.000 0.000
Pm1 0.000 0.000 0.500

The formation energy from raw total energies is -1.45 eV/atom. The crystal system is trigonal. For the uncorrected energy, the calculation gives -5.338 eV per atom. The space-group type is R-3m (166). As for the magnetization: 0.00 μB per formula unit.

Which value of magnetization does entry 6 give? 0.00 μB per formula unit